1.
Computed, not measured: ScTaHg2 after structural relaxation at the PBE level of DFT.

Computed properties:
As for the calculated volume: 20.93 Å³/atom. As for the space group: C2/m (12). The density of states at the Fermi level is 3.520 states/eV per cell. The total magnetic moment comes out at 0.0 μB/cell. The crystal system is monoclinic.

Cell: 5.2156 5.2156 5.5109 Å, 98.91 98.91 34.48°
Sites, in units of the cell vectors:
1 Sc 0.0000 0.0000 0.0000
2 Ta 0.5000 0.5000 0.5000
3 Hg 0.2498 0.2498 0.7421
4 Hg 0.7502 0.7502 0.2579


2.
Computed, not measured: Hf3Np after structural relaxation at the PBE level of DFT.

Computed properties:
As for the calculated volume: 22.61 Å³/atom. As for the space group: Imm2 (44). The density of states at the Fermi level is 8.532 states/eV per cell. The total magnetic moment comes out at 3.8 μB/cell. The crystal system is orthorhombic.

Cell: 6.1140 6.1140 6.1140 Å, 150.69 63.25 125.32°
Sites, in units of the cell vectors:
1 Hf 0.0000 0.0000 0.0000
2 Hf 0.4424 0.6979 0.7445
3 Hf 0.9535 0.6979 0.2555
4 Np 0.5069 0.0069 0.5000


Number 1: DFT formation energy 173 meV/atom, energy above the lowest structure with this stoichiometry 128.1 meV per atom. Number 2: DFT formation energy 229 meV/atom, energy above the lowest structure with this stoichiometry 7.9 meV per atom.